This record from Alexandria via LeMat-Bulk describes a relaxed LiMoWO6 crystal. The functional is PBE with a Hubbard U.

abc: 5.2518 5.2518 9.5001
angles: 90.00 90.00 120.00
Last column: nearest neighbours and their distance in Å.
Fractional coordinates of all 18 atoms:
O (0.3615, 0.3690, 0.3615)  1 W 1.95, 1 Mo 2.01
O (0.3690, 0.0074, 0.6385)  1 W 1.95, 1 Mo 2.01
Li (0.0000, 0.0000, 0.0000)  6 O 2.33
W (0.6667, 0.3333, 0.7500)  6 O 1.95
Mo (0.6667, 0.3333, 0.2500)  6 O 2.01
O (0.6385, 0.0074, 0.8615)  1 W 1.95, 1 Mo 2.01
O (0.6310, 0.6385, 0.1385)  1 W 1.95, 1 Mo 2.01
O (0.6310, 0.9926, 0.3615)  1 W 1.95, 1 Mo 2.01
O (0.9926, 0.6310, 0.8615)  1 W 1.95, 1 Mo 2.01
O (0.9926, 0.3615, 0.6385)  1 W 1.95, 1 Mo 2.01
O (0.3615, 0.9926, 0.1385)  1 W 1.95, 1 Mo 2.01
Mo (0.3333, 0.6667, 0.7500)  6 O 2.01
O (0.0074, 0.3690, 0.1385)  1 W 1.95, 1 Mo 2.01
O (0.0074, 0.6385, 0.3615)  1 W 1.95, 1 Mo 2.01
W (0.3333, 0.6667, 0.2500)  6 O 1.95
Li (0.0000, 0.0000, 0.5000)  6 O 2.33
O (0.6385, 0.6310, 0.6385)  1 W 1.95, 1 Mo 2.01
O (0.3690, 0.3615, 0.8615)  1 W 1.95, 1 Mo 2.01

Output
Its space group is P-31c. Its total energy is -6.91 eV/atom. As for the magnetization: 1.0 μB per formula unit.